{"formula": "Li2BeMo", "functional": "PBE", "state": "relaxed", "magnetic_moment_mub_per_cell": 0.1, "energy_ev_per_atom": -4.042, "crystal_system": "cubic", "sg": "No. 216", "lattice": [[0.000, 2.882, 2.882], [2.882, 0.000, 2.882], [2.882, 2.882, 0.000]], "species": ["Li", "Li", "Be", "Mo"], "fractional_positions": [[0.000, 0.000, 0.000], [0.250, 0.250, 0.250], [0.500, 0.500, 0.500], [0.750, 0.750, 0.750]]}